CsCoTc2O8 | PBE+U | optimized geometry

Properties
Raw total energy: -83.90 eV per cell
Crystal system: trigonal

Lattice parameters (Å, degrees): 5.554 5.554 8.587 90.00 90.00 120.00
Fractional coordinates of all 12 atoms:
Co  0.000  0.000  0.500
O  0.333  0.667  0.909
O  0.668  0.747  0.641
O  0.747  0.079  0.359
O  0.253  0.921  0.641
O  0.921  0.668  0.359
O  0.332  0.253  0.359
O  0.079  0.332  0.641
O  0.667  0.333  0.091
Cs  0.000  0.000  0.000
Tc  0.667  0.333  0.296
Tc  0.333  0.667  0.704